# 1
# GeSBr

GeSBr after structural relaxation (PBE-GGA, the Alexandria database).

Calculated values
formation energy without anion corrections = 0.398 eV/atom
ΔE to the lowest computed polymorph = 786 meV/atom
space-group type = P3m1 (156)

a = 2.929 Å, b = 4.930 Å, c = 4.930 Å
α = 120.00°, β = 90.00°, γ = 90.00°
Sites, in units of the cell vectors:
Ge  0.457  0.667  0.333
S  0.511  0.333  0.667
Br  0.032  0.000  0.000

# 2
# K2ICl6

K2ICl6 after structural relaxation (PBE-GGA, the Alexandria database).

Calculated values
formation energy without anion corrections = -0.915 eV/atom
ΔE to the lowest computed polymorph = 3 meV/atom
space-group type = C2/m (12)

a = 6.493 Å, b = 7.765 Å, c = 7.765 Å
α = 54.23°, β = 74.56°, γ = 74.56°
Each line ends with the local moment (μB).
Sites, in units of the cell vectors:
K  0.793  0.728  0.728  0.00
K  0.207  0.272  0.272  0.00
I  0.000  0.000  0.000  0.32
Cl  0.201  0.313  0.813  0.02
Cl  0.284  0.780  0.780  0.21
Cl  0.201  0.813  0.313  0.02
Cl  0.799  0.687  0.187  0.02
Cl  0.716  0.220  0.220  0.21
Cl  0.799  0.187  0.687  0.02